A:
Entry from Alexandria: ScSn3I after structural relaxation (PBE-GGA).

The space group is Pm-3m (No. 221) and the conventional cell measures 5.6683, 5.6683 and 5.6683 Å, with angles of 90.00, 90.00 and 90.00 degrees. The inequivalent atoms are Sc at (0.0000, 0.0000, 0.0000), Sn at (0.0000, 0.0000, 0.5000) and I at (0.5000, 0.5000, 0.5000).

B:
Entry from Alexandria: ScSn3I after structural relaxation (PBE-GGA).

The space group is Pm-3m (No. 221) and the conventional cell measures 5.7577, 5.7577 and 5.7577 Å, with angles of 90.00, 90.00 and 90.00 degrees. The inequivalent atoms are Sc at (0.0000, 0.0000, 0.0000), Sn at (0.0000, 0.5000, 0.5000) and I at (0.5000, 0.5000, 0.5000).

The most stable arrangement is A, and the next structure is 57.8 kJ/mol of atoms less stable.

A:
Entry from Alexandria: ScSnTeI2 after structural relaxation (PBE-GGA).

The space group is P4/mmm (No. 123) and the conventional cell measures 5.6499, 5.6499 and 5.7205 Å, with angles of 90.00, 90.00 and 90.00 degrees. The inequivalent atoms are Sc at (0.0000, 0.0000, 0.0000), Sn at (0.5000, 0.5000, 0.5000), Te at (0.0000, 0.0000, 0.5000) and I at (0.0000, 0.5000, 0.0000).

B:
Entry from Alexandria: ScSnTeI2 after structural relaxation (PBE-GGA).

The space group is P4/mmm (No. 123) and the conventional cell measures 5.9095, 5.9095 and 5.8802 Å, with angles of 90.00, 90.00 and 90.00 degrees. The inequivalent atoms are Sc at (0.0000, 0.0000, 0.0000), Sn at (0.5000, 0.5000, 0.5000), Te at (0.5000, 0.5000, 0.0000) and I at (0.0000, 0.5000, 0.5000).

The most stable arrangement is A, and the next structure is 54.9 kJ/mol of atoms less stable.

A:
Entry from Alexandria: SrSc3I after structural relaxation (PBE-GGA).

The space group is Pm-3m (No. 221) and the conventional cell measures 5.4739, 5.4739 and 5.4739 Å, with angles of 90.00, 90.00 and 90.00 degrees. The inequivalent atoms are Sr at (0.0000, 0.0000, 0.0000), Sc at (0.0000, 0.5000, 0.5000) and I at (0.5000, 0.5000, 0.5000).

B:
Entry from Alexandria: SrSc3I after structural relaxation (PBE-GGA).

The space group is Pm-3m (No. 221) and the conventional cell measures 5.5280, 5.5280 and 5.5280 Å, with angles of 90.00, 90.00 and 90.00 degrees. The inequivalent atoms are Sr at (0.0000, 0.0000, 0.0000), Sc at (0.0000, 0.0000, 0.5000) and I at (0.5000, 0.5000, 0.5000).

The most stable arrangement is A, and the next structure is 96.7 kJ/mol of atoms less stable.

A:
Entry from Alexandria: SrSc2I2 after structural relaxation (PBE-GGA).

The space group is I4/mmm (No. 139) and the conventional cell measures 4.2268, 4.2268 and 16.6947 Å, with angles of 90.00, 90.00 and 90.00 degrees. The inequivalent atoms are Sr at (0.0000, 0.0000, 0.0000), Sc at (0.0000, 0.5000, 0.2500) and I at (0.0000, 0.0000, 0.3908).

B:
Entry from Alexandria: SrSc2I2 after structural relaxation (PBE-GGA).

The space group is P4/mbm (No. 127) and the conventional cell measures 8.6691, 8.6691 and 3.7219 Å, with angles of 90.00, 90.00 and 90.00 degrees. The inequivalent atoms are Sr at (0.0000, 0.0000, 0.0000), Sc at (0.1490, 0.3510, 0.5000) and I at (0.1432, 0.6432, 0.0000).

The most stable arrangement is A, and the next structure is 17.1 kJ/mol of atoms less stable.

A:
Entry from Alexandria: SrScI3 after structural relaxation (PBE-GGA).

The space group is Pm-3m (No. 221) and the conventional cell measures 5.7753, 5.7753 and 5.7753 Å, with angles of 90.00, 90.00 and 90.00 degrees. The inequivalent atoms are Sr at (0.0000, 0.0000, 0.0000), Sc at (0.5000, 0.5000, 0.5000) and I at (0.0000, 0.5000, 0.5000).

B:
Entry from Alexandria: SrScI3 after structural relaxation (PBE-GGA).

The space group is Pm-3m (No. 221) and the conventional cell measures 6.3417, 6.3417 and 6.3417 Å, with angles of 90.00, 90.00 and 90.00 degrees. The inequivalent atoms are Sr at (0.0000, 0.0000, 0.0000), Sc at (0.5000, 0.5000, 0.5000) and I at (0.0000, 0.0000, 0.5000).

The most stable arrangement is A, and the next structure is 29.6 kJ/mol of atoms less stable.

A:
Entry from Alexandria: Sr2Sc2I after structural relaxation (PBE-GGA).

The space group is P4/mbm (No. 127) and the conventional cell measures 9.8736, 9.8736 and 4.1620 Å, with angles of 90.00, 90.00 and 90.00 degrees. The inequivalent atoms are Sr at (0.1869, 0.3131, 0.0000), Sc at (0.0990, 0.5990, 0.5000) and I at (0.0000, 0.0000, 0.0000).

B:
Entry from Alexandria: Sr2Sc2I after structural relaxation (PBE-GGA).

The space group is I4/mmm (No. 139) and the conventional cell measures 4.1231, 4.1231 and 21.7961 Å, with angles of 90.00, 90.00 and 90.00 degrees. The inequivalent atoms are Sr at (0.0000, 0.0000, 0.1090), Sc at (0.0000, 0.5000, 0.2500) and I at (0.0000, 0.0000, 0.5000).

The most stable arrangement is B, and the next structure is 34.6 kJ/mol of atoms less stable.

A:
Entry from Alexandria: Sc2TaI after structural relaxation (PBE-GGA).

The space group is I-42d (No. 122) and the conventional cell measures 4.3352, 4.3352 and 19.9800 Å, with angles of 90.00, 90.00 and 90.00 degrees. The inequivalent atoms are Sc at (0.2488, 0.2500, 0.1250), Ta at (0.0000, 0.0000, 0.0000) and I at (0.0000, 0.0000, 0.5000).

B:
Entry from Alexandria: Sc2TaI after structural relaxation (PBE-GGA).

The space group is Fm-3m (No. 225) and the conventional cell measures 7.0268, 7.0268 and 7.0268 Å, with angles of 90.00, 90.00 and 90.00 degrees. The inequivalent atoms are Sc at (0.2500, 0.2500, 0.2500), Ta at (0.0000, 0.0000, 0.0000) and I at (0.0000, 0.0000, 0.5000).

C:
Entry from Alexandria: Sc2TaI after structural relaxation (PBE-GGA).

The space group is R-3m (No. 166, hexagonal axes) and the conventional cell measures 3.3948, 3.3948 and 30.7767 Å, with angles of 90.00, 90.00 and 120.00 degrees. The inequivalent atoms are Sc at (0.0000, 0.0000, 0.0931), Ta at (0.0000, 0.0000, 0.5000) and I at (0.0000, 0.0000, 0.0000).

The most stable arrangement is C, and the next structure is 20.3 kJ/mol of atoms less stable.